11
Lattice="7.859 0.000 0.000 -3.930 6.243 0.015 0.000 -3.449 8.619" Properties=species:S:1:pos:R:3 comment="Cs2ThSb2Se6 (PBE-GGA, relaxed)" sg=C2/m energy_ev_per_atom=-4.3840 pbc="T T T"
Se 0.000 1.676 3.955
Se 3.930 1.119 4.680
Sb 0.000 0.274 1.809
Se 1.907 4.888 2.091
Se 2.022 -2.093 6.544
Sb 3.930 2.520 6.825
Se 5.837 -2.093 6.544
Cs 0.000 0.850 7.434
Se -1.907 4.888 2.091
Th 3.930 -1.724 4.310
Cs 3.930 1.944 1.201